1.
Density functional theory data (GGA-PBE) for crystalline K3NaW at its relaxed geometry.

POSCAR file:
```
K3NaW
1.0
6.846 0.000 0.000
0.000 6.846 0.000
0.000 0.000 6.846
K Na W
3 1 1
Direct
0.000 0.000 0.500 K
0.000 0.500 0.000 K
0.500 0.000 0.000 K
0.500 0.500 0.500 Na
0.000 0.000 0.000 W
```

Values from the calculation:
Its space group is Pm-3m, No. 221. The calculation puts the total magnetization at 5.90 μB per cell. The relative energy among the computed polymorphs is 0 meV/atom.

2.
Density functional theory data (GGA-PBE) for crystalline Li8GeP2 at its relaxed geometry.

POSCAR file:
```
Li8GeP2
1.0
6.447 -2.127 0.000
6.447 2.127 0.000
-3.848 0.000 5.903
Li Ge P
8 1 2
Direct
0.001 0.001 0.309 Li
0.146 0.146 0.144 Li
0.339 0.339 0.543 Li
0.340 0.340 0.135 Li
0.660 0.660 0.865 Li
0.661 0.661 0.457 Li
0.854 0.854 0.856 Li
0.999 0.999 0.691 Li
0.500 0.500 0.000 Ge
0.204 0.204 0.705 P
0.796 0.796 0.295 P
```

Values from the calculation:
Its space group is C2/m, No. 12. The calculation puts the total magnetization at 0.00 μB per cell.

| no. | energy of formation (kJ per mole of atoms) |
| --- | --- |
| 1 | 125.9 |
| 2 | -50.0 |